No. 1
Density functional theory data (PBE) for a relaxed structure of PPtI2.

a = 5.573 Å, b = 5.573 Å, c = 8.598 Å
α = 71.09°, β = 71.09°, γ = 90.00°
Positions (direct):
P 0.250 0.750 0.500
P 0.500 0.500 0.000
Pt 0.000 0.000 0.000
Pt 0.750 0.250 0.500
I 0.375 0.367 0.750
I 0.117 0.625 0.250
I 0.875 0.883 0.750
I 0.633 0.125 0.250

Calculated values
- E_form (uncorrected): 719 meV per atom
- Total moment: 0.0 μB per formula unit
- Volume: 29.67 A^3/atom



No. 2
Density functional theory data (PBE) for a relaxed structure of PPt2I8.

a = 10.249 Å, b = 7.818 Å, c = 8.537 Å
α = 96.29°, β = 90.00°, γ = 130.95°
Positions (direct):
P 0.000 0.000 0.000
I 0.906 0.811 0.318
I 0.332 0.298 0.150
I 0.965 0.298 0.150
I 0.094 0.189 0.682
I 0.035 0.702 0.850
I 0.668 0.702 0.850
I 0.354 0.708 0.491
I 0.646 0.292 0.509
Pt 0.866 0.731 0.618
Pt 0.134 0.269 0.382

Calculated values
- E_form (uncorrected): 102 meV per atom
- Total moment: 0.0 μB per formula unit
- Volume: 46.47 A^3/atom



No. 3
Density functional theory data (PBE) for a relaxed structure of PPtI.

a = 3.749 Å, b = 5.902 Å, c = 7.955 Å
α = 69.83°, β = 90.00°, γ = 89.99°
Positions (direct):
I 0.500 0.828 0.330
I 0.500 0.172 0.670
Pt 0.500 0.658 0.694
Pt 0.500 0.342 0.306
P 0.000 0.415 0.136
P 0.000 0.585 0.864

Calculated values
- E_form (uncorrected): -56 meV per atom
- Total moment: 0.0 μB per formula unit
- Volume: 27.54 A^3/atom



No. 4
Density functional theory data (PBE) for a relaxed structure of PPtI3.

a = 5.405 Å, b = 5.405 Å, c = 5.405 Å
α = 90.00°, β = 90.00°, γ = 90.00°
Each line ends with the local moment (μB).
Positions (direct):
P 0.000 0.000 0.000  -0.02
I 0.500 0.000 0.000  0.02
I 0.000 0.500 0.000  0.05
I 0.000 0.000 0.500  0.02
Pt 0.500 0.500 0.500  0.52

Calculated values
- E_form (uncorrected): 962 meV per atom
- Total moment: 0.6 μB per formula unit
- Volume: 31.59 A^3/atom
- Distance to the lowest polymorph of the same formula: 6.28 kcal/mol of atoms



No. 5
Density functional theory data (PBE) for a relaxed structure of P3PtI.

a = 4.782 Å, b = 4.782 Å, c = 4.782 Å
α = 90.00°, β = 90.00°, γ = 90.00°
Positions (direct):
I 0.500 0.500 0.500
P 0.000 0.000 0.500
P 0.000 0.500 0.000
P 0.500 0.000 0.000
Pt 0.000 0.000 0.000

Calculated values
- E_form (uncorrected): 799 meV per atom
- Total moment: 0.0 μB per formula unit
- Volume: 21.87 A^3/atom
- Distance to the lowest polymorph of the same formula: 0.00 kcal/mol of atoms



No. 6
Density functional theory data (PBE) for a relaxed structure of PPt2I.

a = 6.417 Å, b = 6.417 Å, c = 6.339 Å
α = 59.59°, β = 59.59°, γ = 90.00°
Positions (direct):
P 0.250 0.750 0.500
P 0.500 0.500 0.000
I 0.750 0.250 0.500
I 0.000 0.000 0.000
Pt 0.375 0.444 0.750
Pt 0.556 0.125 0.250
Pt 0.875 0.806 0.750
Pt 0.194 0.625 0.250

Calculated values
- E_form (uncorrected): -60 meV per atom
- Total moment: 0.0 μB per formula unit
- Volume: 22.78 A^3/atom
- Distance to the lowest polymorph of the same formula: 0.00 kcal/mol of atoms



No. 7
Density functional theory data (PBE) for a relaxed structure of PPt2I.

a = 4.690 Å, b = 4.690 Å, c = 4.690 Å
α = 60.00°, β = 60.00°, γ = 60.00°
Positions (direct):
I 0.500 0.500 0.500
P 0.000 0.000 0.000
Pt 0.750 0.750 0.750
Pt 0.250 0.250 0.250

Calculated values
- E_form (uncorrected): 599 meV per atom
- Total moment: 0.0 μB per formula unit
- Volume: 18.24 A^3/atom
- Distance to the lowest polymorph of the same formula: 15.18 kcal/mol of atoms



No. 8
Density functional theory data (PBE) for a relaxed structure of PRuPtI2.

a = 5.722 Å, b = 4.387 Å, c = 5.722 Å
α = 90.00°, β = 90.00°, γ = 90.00°
Each line ends with the local moment (μB).
Positions (direct):
I 0.000 0.000 0.500  0.06
I 0.500 0.000 0.000  0.06
P 0.000 0.000 0.000  0.00
Pt 0.000 0.500 0.000  0.06
Ru 0.500 0.500 0.500  2.66

Calculated values
- E_form (uncorrected): 1099 meV per atom
- Total moment: 3.2 μB per formula unit
- Volume: 28.73 A^3/atom